[1]
ZrIn2Au: relaxed, GGA-PBE.

The structure in extended XYZ format:
```
4
Lattice="-4.812 2.000 1.070 -5.084 -0.065 -1.565 -2.111 -3.741 3.148" Properties=species:S:1:pos:R:3 pbc="T T T"
Au -9.006 -1.307 1.953
In -2.176 -3.709 3.130
In -2.990 -0.462 0.670
Zr -5.950 -0.971 1.375
```

Calculated values
As for the space-group type: Cm. Its formation energy from the elements is -0.192 eV per atom.

***

[2]
AcDy2Tl3Te6: relaxed, GGA-PBE.

The structure in extended XYZ format:
```
12
Lattice="-1.927 4.735 6.052 5.745 -5.385 0.868 4.241 5.694 -4.837" Properties=species:S:1:pos:R:3 pbc="T T T"
Ac 0.000 0.000 0.000
Dy 3.193 -2.018 2.592
Dy 0.625 1.368 4.328
Tl 6.627 -0.904 -0.713
Tl 1.433 5.947 2.796
Tl 4.030 2.522 1.042
Te 4.826 5.739 2.330
Te 3.656 0.754 3.939
Te 3.234 -0.696 -0.246
Te 7.528 2.176 0.504
Te 4.404 4.290 -1.855
Te 0.532 2.868 1.579
```

Calculated values
As for the space-group type: C2/m. The formation energy from raw total energies is -1.08 eV per atom.

***

[3]
CdTe2Se: relaxed, GGA-PBE.

The structure in extended XYZ format:
```
4
Lattice="-1.049 -2.951 -0.590 3.060 -0.497 0.735 -2.912 -1.222 11.297" Properties=species:S:1:pos:R:3 pbc="T T T"
Cd -1.507 -0.632 5.847
Se -0.973 -2.554 7.748
Te -2.904 -1.218 11.266
Te 0.115 -2.097 3.527
```

Calculated values
As for the space-group type: Cmm2. The formation energy from raw total energies is 0.16 eV per atom.

***

[4]
Pu2PdPb: relaxed, GGA-PBE.

The structure in extended XYZ format:
```
4
Lattice="-2.354 -2.310 -1.546 0.811 -1.566 -3.187 3.494 -8.391 2.930" Properties=species:S:1:pos:R:3 pbc="T T T"
Pb 0.975 -6.133 -0.901
Pd 0.000 0.000 0.000
Pu 0.345 -2.815 -0.611
Pu 1.605 -9.452 -1.192
```

Calculated values
As for the space-group type: R-3m. Its formation energy from the elements is -0.111 eV per atom.

***

no.,calculated volume (Å³ per atom),energy (eV/atom)
1,22.0,-4.52
2,37.0,-4.35
3,29.1,-2.51
4,26.8,-9.50